DFT (PBE with a Hubbard U) results for PmSm2WO8 after structural relaxation.

Summary:
The electronic total energy comes out at -7.85 eV/atom. The space-group type is No. 10.

Cell: 5.162 7.017 5.164 Å, 90.00 90.52 90.00°
Fractional coordinates of all 12 atoms:
Pm  0.000  0.000  0.000
Sm  0.500  0.254  0.500
Sm  0.500  0.746  0.500
W  0.000  0.500  0.000
O  0.180  0.294  0.819
O  0.180  0.706  0.819
O  0.270  0.500  0.269
O  0.311  0.000  0.310
O  0.689  0.000  0.690
O  0.730  0.500  0.731
O  0.820  0.294  0.181
O  0.820  0.706  0.181